# La6Pm2ErSc (PBE, optimized geometry)
# DOS(E_F) ... 1.6969 states/eV per atom
# Crystal system ... monoclinic
# Energy ... -48.0 eV/f.u.
# SG ... C2/m, No. 12
# Size of the total moment ... 0.000 μB/atom
data_La6Pm2ErSc
_chemical_formula_sum 'La6 Pm2 Er1 Sc1'
_cell_length_a 9.110
_cell_length_b 7.405
_cell_length_c 6.576
_cell_angle_alpha 124.26
_cell_angle_beta 103.72
_cell_angle_gamma 90.00
_space_group_name_H-M_alt 'P 1'
_space_group_IT_number 1
_space_group_name_Hall 'P 1'
loop_
_atom_site_label
_atom_site_type_symbol
_atom_site_fract_x
_atom_site_fract_y
_atom_site_fract_z
_atom_site_occupancy
Sc1 Sc 0.500 0.000 0.000 1
La1 La 0.437 0.661 0.322 1
La2 La 0.786 0.909 0.277 1
La3 La 0.786 0.368 0.277 1
La4 La 0.214 0.632 0.723 1
La5 La 0.563 0.339 0.678 1
La6 La 0.214 0.091 0.723 1
Pm1 Pm 0.848 0.879 0.758 1
Pm2 Pm 0.152 0.121 0.242 1
Er1 Er 0.000 0.500 0.000 1